(1)
The following is a DFT calculation (PBE-GGA) of a geometry-optimized SrPaTaO6 structure.

abc: 5.6803 5.6803 10.4008
angles: 90.00 90.00 120.00
Space group P-31c (No. 163)
One atom of each set of equivalent atoms:
Sr: 0.0000 0.0000 0.0000
Pa: 0.3333 0.6667 0.2500
Ta: 0.3333 0.6667 0.7500
O: 0.0225 0.3834 0.6453

**Magnetization**: 0.00 μB per atom
**D(E_F)**: 0.00 states/eV/cell
**ΔE_f (raw)**: -29.2 eV/f.u.
**V**: 16.1 A^3/atom

---

(2)
The following is a DFT calculation (PBE-GGA) of a geometry-optimized SrPaTcO6 structure.

abc: 5.5995 5.5995 10.5034
angles: 90.00 90.00 120.00
Space group P-31c (No. 163)
One atom of each set of equivalent atoms:
Sr: 0.0000 0.0000 0.0000
Pa: 0.3333 0.6667 0.2500
Tc: 0.3333 0.6667 0.7500
O: 0.0249 0.3807 0.6464

**Magnetization**: 0.22 μB per atom
**D(E_F)**: 11.29 states/eV/cell
**ΔE_f (raw)**: -23.4 eV/f.u.
**V**: 15.8 A^3/atom

---

(3)
The following is a DFT calculation (PBE-GGA) of a geometry-optimized Sr2PaTcO6 structure.

abc: 4.2356 4.2356 8.5279
angles: 90.00 90.00 90.00
Space group P4/mmm (No. 123)
One atom of each set of equivalent atoms:
Sr: 0.0000 0.0000 0.2001
Pa: 0.5000 0.5000 0.5000
Tc: 0.5000 0.5000 0.0000
O: 0.0000 0.5000 0.0000
O: 0.0000 0.5000 0.5000
O: 0.5000 0.5000 0.2446

**Magnetization**: 0.20 μB per atom
**D(E_F)**: 3.06 states/eV/cell
**ΔE_f (raw)**: -26.4 eV/f.u.
**V**: 15.3 A^3/atom

---

(4)
The following is a DFT calculation (PBE-GGA) of a geometry-optimized SrPaTe2O8 structure.

abc: 7.5177 7.5177 7.0681
angles: 90.00 90.00 90.00
Space group I-4m2 (No. 119)
One atom of each set of equivalent atoms:
Sr: 0.0000 0.0000 0.0000
Pa: 0.0000 0.5000 0.2500
Te: 0.0000 0.0000 0.5000
Te: 0.0000 0.5000 0.7500
O: 0.0000 0.2091 0.3132
O: 0.0000 0.3240 0.9504

**Magnetization**: 0.08 μB per atom
**D(E_F)**: 5.14 states/eV/cell
**ΔE_f (raw)**: -22.9 eV/f.u.
**V**: 16.6 A^3/atom

---

(5)
The following is a DFT calculation (PBE-GGA) of a geometry-optimized Sr2PaTeO8 structure.

abc: 5.3260 6.9788 5.3383
angles: 90.00 92.68 90.00
Space group P2/m (No. 10)
One atom of each set of equivalent atoms:
Sr: 0.0000 0.2399 0.0000
Pa: 0.5000 0.5000 0.5000
Te: 0.5000 0.0000 0.5000
O: 0.2281 0.5000 0.2296
O: 0.2416 0.0000 0.2433
O: 0.3312 0.2159 0.6694

**Magnetization**: 0.09 μB per atom
**D(E_F)**: 6.00 states/eV/cell
**ΔE_f (raw)**: -27.9 eV/f.u.
**V**: 16.5 A^3/atom

---

(6)
The following is a DFT calculation (PBE-GGA) of a geometry-optimized SrPaTiO6 structure.

abc: 5.5994 5.5994 4.7709
angles: 90.00 90.00 120.00
Space group P312 (No. 149)
One atom of each set of equivalent atoms:
Sr: 0.0000 0.0000 0.0000
Pa: 0.6667 0.3333 0.5000
Ti: 0.3333 0.6667 0.0000
O: 0.0180 0.4001 0.2369

**Magnetization**: 0.11 μB per atom
**D(E_F)**: 5.05 states/eV/cell
**ΔE_f (raw)**: -25.9 eV/f.u.
**V**: 14.4 A^3/atom

---

(7)
The following is a DFT calculation (PBE-GGA) of a geometry-optimized Sr2PaTiO6 structure.

abc: 4.2221 4.2221 8.4876
angles: 90.00 90.00 90.00
Space group P4/mmm (No. 123)
One atom of each set of equivalent atoms:
Sr: 0.0000 0.0000 0.2007
Pa: 0.5000 0.5000 0.5000
Ti: 0.5000 0.5000 0.0000
O: 0.0000 0.5000 0.0000
O: 0.0000 0.5000 0.5000
O: 0.5000 0.5000 0.2415

**Magnetization**: 0.10 μB per atom
**D(E_F)**: 3.60 states/eV/cell
**ΔE_f (raw)**: -31.2 eV/f.u.
**V**: 15.1 A^3/atom

---

(8)
The following is a DFT calculation (PBE-GGA) of a geometry-optimized SrPaTi2O8 structure.

abc: 5.2564 5.2564 11.4129
angles: 90.00 90.00 90.00
Space group I-4 (No. 82)
One atom of each set of equivalent atoms:
Sr: 0.0000 0.0000 0.0000
Pa: 0.0000 0.5000 0.7500
Ti: 0.0000 0.0000 0.5000
Ti: 0.0000 0.5000 0.2500
O: 0.1432 0.2525 0.5922
O: 0.1795 0.7562 0.1751

**Magnetization**: 0.09 μB per atom
**D(E_F)**: 14.82 states/eV/cell
**ΔE_f (raw)**: -35.9 eV/f.u.
**V**: 13.1 A^3/atom

---

(9)
The following is a DFT calculation (PBE-GGA) of a geometry-optimized Sr3PaTi2O9 structure.

abc: 5.7611 5.7611 7.2622
angles: 90.00 90.00 120.00
Space group P-3m1 (No. 164)
One atom of each set of equivalent atoms:
Sr: 0.0000 0.0000 0.0000
Sr: 0.3333 0.6667 0.7080
Pa: 0.0000 0.0000 0.5000
Ti: 0.3333 0.6667 0.1536
O: 0.0000 0.5000 0.0000
O: 0.1709 0.3419 0.3171

**Magnetization**: 0.07 μB per atom
**D(E_F)**: 3.93 states/eV/cell
**ΔE_f (raw)**: -47.3 eV/f.u.
**V**: 13.9 A^3/atom

---

(10)
The following is a DFT calculation (PBE-GGA) of a geometry-optimized SrPa3Tl4O12 structure.

abc: 8.9611 8.9611 8.9611
angles: 90.00 90.00 90.00
Space group Im-3m (No. 229)
One atom of each set of equivalent atoms:
Sr: 0.0000 0.0000 0.0000
Pa: 0.0000 0.0000 0.5000
Tl: 0.2500 0.2500 0.2500
O: 0.0000 0.0000 0.2735
O: 0.0000 0.2500 0.5000

**Magnetization**: 0.00 μB per atom
**D(E_F)**: 37.34 states/eV/cell
**ΔE_f (raw)**: -45.6 eV/f.u.
**V**: 18.0 A^3/atom

---

(11)
The following is a DFT calculation (PBE-GGA) of a geometry-optimized SrPaTlO6 structure.

abc: 5.9040 5.9040 4.8609
angles: 90.00 90.00 120.00
Space group P312 (No. 149)
One atom of each set of equivalent atoms:
Sr: 0.0000 0.0000 0.0000
Pa: 0.6667 0.3333 0.5000
Tl: 0.3333 0.6667 0.0000
O: 0.3779 0.0147 0.2520

**Magnetization**: 0.23 μB per atom
**D(E_F)**: 8.54 states/eV/cell
**ΔE_f (raw)**: -17.6 eV/f.u.
**V**: 16.3 A^3/atom

---

(12)
The following is a DFT calculation (PBE-GGA) of a geometry-optimized SrPaTl2O8 structure.

abc: 7.1834 7.1834 7.8163
angles: 90.00 90.00 90.00
Space group I-4m2 (No. 119)
One atom of each set of equivalent atoms:
Sr: 0.0000 0.0000 0.0000
Pa: 0.0000 0.5000 0.7500
Tl: 0.0000 0.0000 0.5000
Tl: 0.0000 0.5000 0.2500
O: 0.0000 0.1996 0.7088
O: 0.0000 0.3451 0.0182

**Magnetization**: 0.22 μB per atom
**D(E_F)**: 17.17 states/eV/cell
**ΔE_f (raw)**: -17.7 eV/f.u.
**V**: 16.8 A^3/atom

---

(13)
The following is a DFT calculation (PBE-GGA) of a geometry-optimized SrTmPaO6 structure.

abc: 5.9548 5.9548 4.7328
angles: 90.00 90.00 120.00
Space group P312 (No. 149)
One atom of each set of equivalent atoms:
Sr: 0.0000 0.0000 0.0000
Tm: 0.3333 0.6667 0.0000
Pa: 0.6667 0.3333 0.5000
O: 0.3788 0.0090 0.2458

**Magnetization**: 0.23 μB per atom
**D(E_F)**: 5.90 states/eV/cell
**ΔE_f (raw)**: -25.2 eV/f.u.
**V**: 16.1 A^3/atom

---

(14)
The following is a DFT calculation (PBE-GGA) of a geometry-optimized SrUPa2O8 structure.

abc: 5.4843 5.4843 10.8970
angles: 90.00 90.00 90.00
Space group I-4m2 (No. 119)
One atom of each set of equivalent atoms:
Sr: 0.0000 0.0000 0.0000
U: 0.0000 0.5000 0.2500
Pa: 0.0000 0.0000 0.5000
Pa: 0.0000 0.5000 0.7500
O: 0.2343 0.2387 0.6307

**Magnetization**: 0.17 μB per atom
**D(E_F)**: 17.36 states/eV/cell
**ΔE_f (raw)**: -41.6 eV/f.u.
**V**: 13.7 A^3/atom